# PBE-GGA Ho2ThHg6, optimized geometry
# DFT formation energy: -3.01 eV/f.u.
data_Ho2ThHg6
_chemical_formula_sum 'Ho2 Th1 Hg6'
_symmetry_space_group_name_H-M 'P 1'
_symmetry_Int_Tables_number 1
_symmetry_space_group_name_Hall 'P 1'
_cell_length_a 3.403
_cell_length_b 8.664
_cell_length_c 8.664
_cell_angle_alpha 120.00
_cell_angle_beta 90.00
_cell_angle_gamma 90.00
loop_
_atom_site_label
_atom_site_type_symbol
_atom_site_fract_x
_atom_site_fract_y
_atom_site_fract_z
_atom_site_occupancy
Hg1 Hg 0.500 0.663 0.000 1
Hg2 Hg 0.500 0.000 0.337 1
Hg3 Hg 0.500 0.337 0.000 1
Hg4 Hg 0.500 0.000 0.663 1
Hg5 Hg 0.500 0.663 0.663 1
Ho1 Ho 0.000 0.667 0.333 1
Th1 Th 0.000 0.000 0.000 1
Hg6 Hg 0.500 0.337 0.337 1
Ho2 Ho 0.000 0.333 0.667 1